*w*
! K2TiTlF6, relaxed, DFT PBE-GGA; values from VASP
&SYSTEM
  ibrav = 0, nat = 20, ntyp = 4
/
ATOMIC_SPECIES
K 39.10 K.upf
Ti 47.87 Ti.upf
Tl 204.38 Tl.upf
F 19.00 F.upf
ATOMIC_POSITIONS angstrom
K 3.0176 6.0258 1.9236
K 0.0000 1.2528 6.4709
K 3.0176 6.0258 7.1712
K 0.0000 1.2528 2.6238
Ti 3.0176 1.3789 4.5474
Ti 0.0000 5.8997 0.0000
Tl 0.0000 4.9817 4.5474
Tl 3.0176 2.2969 0.0000
F 3.0176 1.3328 2.5287
F 3.0176 1.3328 6.5660
F 0.0000 5.9458 2.0186
F 0.0000 5.9458 7.0761
F 1.6536 7.1933 4.5474
F 4.3816 7.1933 4.5474
F 1.5497 2.6737 4.5474
F 4.4855 2.6737 4.5474
F 4.5673 4.6048 0.0000
F 1.4679 4.6048 0.0000
F 1.3640 0.0853 0.0000
F 4.6712 0.0853 0.0000
CELL_PARAMETERS angstrom
6.0352 0.0000 0.0000
0.0000 7.2786 0.0000
0.0000 0.0000 9.0947
! SG: Pmmn

---

*x*
! K2TiTlF6, relaxed, DFT PBE-GGA; values from VASP
&SYSTEM
  ibrav = 0, nat = 10, ntyp = 4
/
ATOMIC_SPECIES
K 39.10 K.upf
Ti 47.87 Ti.upf
Tl 204.38 Tl.upf
F 19.00 F.upf
ATOMIC_POSITIONS angstrom
K 5.1935 1.1635 10.7391
K 1.7312 0.3878 3.5797
Ti 0.0000 0.0000 0.0000
Tl 3.4623 0.7757 7.1594
F 3.4848 2.5895 5.2593
F 4.0325 -1.0825 5.3922
F 3.4399 -1.0382 9.0595
F 0.8981 0.3783 6.7498
F 6.0266 1.1730 7.5690
F 2.8921 2.6339 8.9265
CELL_PARAMETERS angstrom
4.4637 -2.4876 4.0561
3.5017 3.9610 3.8226
-1.0408 0.0779 6.4401
! SG: Fm-3m

---

Which of them is most stable? Easy: *w*.